Material: AlNiBr2F
Method: DFT, PBE+U
State: optimized geometry

a b c (Å): 5.2274 3.7264 5.2274
angles (deg): 90.00 90.00 90.00
Each line ends with the local moment (μB).
Positions (direct):
Al 0.0000 0.0000 0.0000  0.00
F 0.0000 0.5000 0.0000  0.00
Br 0.5000 0.0000 0.0000  -0.01
Br 0.0000 0.0000 0.5000  -0.01
Ni 0.5000 0.5000 0.5000  -1.21

Output
As for the crystal system: tetragonal. Its total energy is -0.10458 Ha/atom.